1.
Here is a relaxed structure of Li4MnCo3O8 from the Alexandria database. Energies are from PBEsol.

The structure in POSCAR format:
```
Li4MnCo3O8
1.0
2.820 0.070 0.015
-0.140 5.666 0.034
-0.078 -0.173 15.947
Li O Co Mn
8 16 6 2
Cartesian
2.727 2.856 4.018 Li
1.238 4.162 13.957 Li
1.329 1.318 10.013 Li
0.000 0.000 0.000 Li
1.273 4.243 5.982 Li
-0.126 2.706 11.978 Li
1.363 1.400 2.039 Li
-0.039 -0.087 7.973 Li
2.736 2.984 1.946 O
1.356 1.273 4.097 O
1.306 4.196 0.098 O
1.334 1.453 7.925 O
-0.134 2.578 14.050 O
1.321 1.191 12.070 O
-0.185 5.434 10.093 O
2.786 0.128 5.903 O
1.246 4.289 11.899 O
2.670 5.587 2.134 O
-0.069 -0.025 13.861 O
-0.119 2.832 9.905 O
2.721 2.730 6.090 O
1.280 4.371 3.926 O
1.268 4.109 8.071 O
1.295 1.366 15.897 O
1.257 4.181 10.003 Co
1.308 1.298 13.965 Co
-0.056 -0.127 11.960 Co
1.344 1.381 5.992 Co
2.658 5.689 4.036 Co
1.293 4.264 2.031 Co
-0.109 2.746 7.990 Mn
-0.070 2.833 0.017 Mn
```

Properties
- total energy (eV per formula unit) = -108.226
- distance to the lowest polymorph of the same formula (eV per atom) = 0.0001
- ΔE_f (raw) (eV per atom) = -1.587
- calculated volume (Å³/atom) = 7.966

=====

2.
Here is a relaxed structure of RePt5 from the Alexandria database. Energies are from PBEsol.

The structure in POSCAR format:
```
RePt5
1.0
4.574 0.000 0.000
0.000 4.747 0.000
0.000 -2.373 4.111
Pt Re
5 1
Cartesian
2.287 2.373 1.370 Pt
0.000 3.206 0.000 Pt
2.287 0.000 2.741 Pt
0.000 -1.603 2.776 Pt
0.000 0.771 1.335 Pt
2.287 0.000 0.000 Re
```

Properties
- total energy (eV per formula unit) = -48.272
- distance to the lowest polymorph of the same formula (eV per atom) = 0.0605
- ΔE_f (eV/atom) = -0.020
- calculated volume (Å³/atom) = 14.876

=====

3.
Here is a relaxed structure of LiHgPb from the Alexandria database. Energies are from PBEsol.

The structure in POSCAR format:
```
LiHgPb
1.0
-1.205 -3.136 0.644
-0.147 -0.633 -3.358
5.983 -0.124 1.504
Pb Hg Li
1 1 1
Cartesian
3.477 -1.316 0.096 Pb
0.266 -0.101 0.007 Hg
0.888 -2.477 -1.314 Li
```

Properties
- total energy (eV per formula unit) = -7.278
- distance to the lowest polymorph of the same formula (eV per atom) = 0.0000
- ΔE_f (eV/atom) = -0.248
- calculated volume (Å³/atom) = 22.136

=====

4.
Here is a relaxed structure of Ag12Pb17 from the Alexandria database. Energies are from PBEsol.

The structure in POSCAR format:
```
Ag12Pb17
1.0
-2.681 -8.751 3.100
8.707 2.161 3.590
-6.430 6.577 2.965
Ag Pb
12 17
Cartesian
1.033 -1.211 2.976 Ag
-6.274 -2.967 4.415 Ag
0.283 6.744 4.702 Ag
-1.744 -0.401 2.861 Ag
-1.777 -5.563 3.741 Ag
-6.954 -0.191 4.391 Ag
5.459 1.371 4.052 Ag
0.345 1.600 2.951 Ag
3.025 5.944 4.816 Ag
3.344 -5.773 4.813 Ag
5.407 -3.796 4.901 Ag
-4.159 4.176 3.655 Ag
-0.891 -2.908 1.030 Pb
2.559 0.670 4.960 Pb
-0.269 -0.009 6.447 Pb
2.279 -2.624 5.461 Pb
0.000 0.000 0.000 Pb
-3.739 -0.869 5.212 Pb
-1.154 4.637 2.907 Pb
-4.710 1.229 2.754 Pb
-0.997 -2.738 4.807 Pb
1.104 -4.597 2.989 Pb
-2.136 2.185 0.985 Pb
3.238 3.356 3.089 Pb
-2.168 2.048 4.765 Pb
2.893 0.718 1.193 Pb
-3.623 -3.218 2.793 Pb
4.408 -1.431 3.131 Pb
0.789 3.470 5.407 Pb
```

Properties
- total energy (eV per formula unit) = -104.681
- ΔE_f (eV/atom) = 0.105
- calculated volume (Å³/atom) = 23.953

=====

5.
Here is a relaxed structure of CoIr2Se from the Alexandria database. Energies are from PBEsol.

The structure in POSCAR format:
```
CoIr2Se
1.0
-2.182 -0.544 -1.512
0.038 -0.697 2.625
-3.506 8.017 2.178
Se Co Ir
1 1 2
Cartesian
-2.844 3.737 0.333 Se
-1.091 -0.272 -0.756 Co
-0.810 1.852 0.503 Ir
-2.696 6.165 1.675 Ir
```

Properties
- total energy (eV per formula unit) = -29.172
- ΔE_f (raw) (eV per atom) = 0.515
- calculated volume (Å³/atom) = 14.379

=====

6.
Here is a relaxed structure of MnNiBr2 from the Alexandria database. Energies are from PBEsol.

The structure in POSCAR format:
```
MnNiBr2
1.0
-0.120 0.525 -3.433
-1.040 -3.490 -0.497
-5.628 1.614 0.443
Mn Br Ni
1 2 1
Cartesian
-0.580 -1.482 -1.965 Mn
-2.874 1.069 -1.495 Br
0.000 0.000 0.000 Br
-3.334 -0.938 -0.027 Ni
```

Properties
- total energy (eV per formula unit) = -18.367
- distance to the lowest polymorph of the same formula (eV per atom) = 0.4464
- ΔE_f (raw) (eV per atom) = 0.323
- calculated volume (Å³/atom) = 18.749

=====

7.
Here is a relaxed structure of KScPb2 from the Alexandria database. Energies are from PBEsol.

The structure in POSCAR format:
```
KScPb2
1.0
-2.491 -2.281 -0.114
-0.022 -0.145 3.376
-6.560 7.152 0.264
K Sc Pb
1 1 2
Cartesian
-4.536 2.363 1.763 K
-1.257 -1.213 1.631 Sc
-5.130 5.593 0.207 Pb
-1.430 1.559 0.058 Pb
```

Properties
- total energy (eV per formula unit) = -16.948
- distance to the lowest polymorph of the same formula (eV per atom) = 0.0004
- ΔE_f (eV/atom) = -0.303
- calculated volume (Å³/atom) = 27.720

=====

8.
Here is a relaxed structure of InPb2Au from the Alexandria database. Energies are from PBEsol.

The structure in POSCAR format:
```
InPb2Au
1.0
4.332 0.000 0.006
0.000 4.189 0.000
-2.101 0.000 5.659
Pb In Au
2 1 1
Cartesian
1.960 0.000 5.309 Pb
1.920 2.095 1.888 Pb
-0.210 2.095 4.407 In
-0.258 0.000 2.556 Au
```

Properties
- total energy (eV per formula unit) = -15.011
- ΔE_f (eV/atom) = -0.027
- calculated volume (Å³/atom) = 25.687

=====

9.
Here is a relaxed structure of Ni3Ir from the Alexandria database. Energies are from PBEsol.

The structure in POSCAR format:
```
Ni3Ir
1.0
4.432 0.000 0.000
0.000 5.031 0.000
0.000 0.000 8.194
Ir Ni
4 12
Cartesian
4.088 0.623 2.049 Ir
0.343 4.408 6.146 Ir
1.872 1.892 2.049 Ir
2.559 3.139 6.146 Ir
1.117 0.621 8.180 Ni
1.099 3.136 0.014 Ni
2.574 0.654 6.146 Ni
1.099 3.136 4.083 Ni
1.858 4.377 2.049 Ni
0.358 1.861 6.146 Ni
3.315 4.410 0.014 Ni
3.333 1.895 8.180 Ni
3.315 4.410 4.083 Ni
1.117 0.621 4.111 Ni
4.073 3.170 2.049 Ni
3.333 1.895 4.111 Ni
```

Properties
- total energy (eV per formula unit) = -28.234
- ΔE_f (eV/atom) = 0.015
- calculated volume (Å³/atom) = 11.418

=====

10.
Here is a relaxed structure of ZrPd3 from the Alexandria database. Energies are from PBEsol.

The structure in POSCAR format:
```
ZrPd3
1.0
3.964 0.000 0.000
0.000 3.964 0.000
0.000 0.000 3.964
Zr Pd
1 3
Cartesian
0.000 0.000 0.000 Zr
0.000 1.982 1.982 Pd
1.982 1.982 0.000 Pd
1.982 0.000 1.982 Pd
```

Properties
- total energy (eV per formula unit) = -30.325
- ΔE_f (eV/atom) = -0.840
- calculated volume (Å³/atom) = 15.571

=====

11.
Here is a relaxed structure of Ba2ZrMoH from the Alexandria database. Energies are from PBEsol.

The structure in POSCAR format:
```
Ba2ZrMoH
1.0
3.680 0.000 0.000
0.000 6.250 0.000
0.000 0.000 6.250
Ba Zr H Mo
2 1 1 1
Cartesian
0.000 3.125 0.000 Ba
0.000 0.000 3.125 Ba
0.000 0.000 0.000 Zr
1.840 0.000 0.000 H
1.840 3.125 3.125 Mo
```

Properties
- total energy (eV per formula unit) = -22.040
- calculated volume (Å³/atom) = 28.750

=====

12.
Here is a relaxed structure of CuAg2WI from the Alexandria database. Energies are from PBEsol.

The structure in POSCAR format:
```
CuAg2WI
1.0
4.974 0.000 0.000
0.000 5.146 0.000
0.000 0.000 5.146
Ag W Cu I
2 1 1 1
Cartesian
0.000 2.573 0.000 Ag
0.000 0.000 2.573 Ag
0.000 0.000 0.000 W
2.487 2.573 2.573 Cu
2.487 0.000 0.000 I
```

Properties
- total energy (eV per formula unit) = -18.009
- ΔE_f (raw) (eV per atom) = 1.704
- calculated volume (Å³/atom) = 26.342

=====

13.
Here is a relaxed structure of Mg2InRu from the Alexandria database. Energies are from PBEsol.

The structure in POSCAR format:
```
Mg2InRu
1.0
4.610 0.000 0.000
2.305 3.992 0.000
2.305 1.331 3.764
In Mg Ru
1 2 1
Cartesian
4.610 2.661 1.882 In
0.000 0.000 0.000 Mg
6.914 3.992 2.823 Mg
2.305 1.331 0.941 Ru
```

Properties
- total energy (eV per formula unit) = -16.596
- ΔE_f (eV/atom) = -0.002
- calculated volume (Å³/atom) = 17.315